Material: LaCr2Co2
Method: DFT, GGA-PBE
State: optimized geometry

Calculated values
**Mass density**: 7.47 Mg/m³
**Relative energy among the computed polymorphs**: 0 meV per atom
**Energy of formation**: 98 kJ/mol of formula units

Lattice parameters (Å, degrees): 4.0111 4.0111 5.7361 69.53 69.53 90.00
Fractional positions:
Cr1 0.7500 0.2500 0.5000
Cr2 0.2500 0.7500 0.5000
Co1 0.6301 0.6301 0.7398
Co2 0.3699 0.3699 0.2602
La1 0.0000 0.0000 0.0000